This record from Alexandria describes YMnTe4 after structural relaxation. The functional is PBE-GGA.

CIF file:
```
data_YMnTe4
_space_group_name_H-M_alt 'F -4 3 m'
_space_group_IT_number 216
_space_group_name_Hall 'F -4 2 3'
_cell_length_a 8.9226
_cell_length_b 8.9226
_cell_length_c 8.9226
_cell_angle_alpha 90.00
_cell_angle_beta 90.00
_cell_angle_gamma 90.00
loop_
_atom_site_label
_atom_site_type_symbol
_atom_site_fract_x
_atom_site_fract_y
_atom_site_fract_z
Y1 Y 0.0000 0.0000 0.0000
Mn1 Mn 0.2500 0.2500 0.7500
Te1 Te 0.1250 0.1250 0.3750
```

Calculated values
- Fermi-level density of states: 20.2 states/eV/cell

---

This record from Alexandria describes YTm2Tl3Se6 after structural relaxation. The functional is PBE-GGA.

CIF file:
```
data_YTm2Tl3Se6
_space_group_name_H-M_alt 'C 1 2/m 1'
_space_group_IT_number 12
_space_group_name_Hall '-C 2y'
_cell_length_a 7.1951
_cell_length_b 12.4610
_cell_length_c 8.1387
_cell_angle_alpha 90.00
_cell_angle_beta 107.15
_cell_angle_gamma 90.00
loop_
_atom_site_label
_atom_site_type_symbol
_atom_site_fract_x
_atom_site_fract_y
_atom_site_fract_z
Y1 Y 0.0000 0.0000 0.0000
Tm1 Tm 0.0000 0.3333 0.0000
Tl1 Tl 0.0000 0.1659 0.5000
Tl2 Tl 0.0000 0.5000 0.5000
Se1 Se 0.2303 0.5000 0.2020
Se2 Se 0.2361 0.1685 0.2027
```

---

This record from Alexandria describes Er2TmAg3S6 after structural relaxation. The functional is PBE-GGA.

CIF file:
```
data_Er2TmAg3S6
_space_group_name_H-M_alt 'C 1 2/m 1'
_space_group_IT_number 12
_space_group_name_Hall '-C 2y'
_cell_length_a 15.2854
_cell_length_b 4.0300
_cell_length_c 11.8912
_cell_angle_alpha 90.00
_cell_angle_beta 119.58
_cell_angle_gamma 90.00
loop_
_atom_site_label
_atom_site_type_symbol
_atom_site_fract_x
_atom_site_fract_y
_atom_site_fract_z
Er1 Er 0.1665 0.0000 0.3329
Tm1 Tm 0.0000 0.5000 0.0000
Ag1 Ag 0.0000 0.5000 0.5000
Ag2 Ag 0.1674 0.0000 0.8352
S1 S 0.0263 0.0000 0.8668
S2 S 0.1406 0.5000 0.4677
S3 S 0.1922 0.5000 0.1978
```

Calculated values
- Fermi-level density of states: 0.0 states/eV/cell

---

This record from Alexandria describes Al3InSi after structural relaxation. The functional is PBE-GGA.

CIF file:
```
data_Al3InSi
_space_group_name_H-M_alt 'P m -3 m'
_space_group_IT_number 221
_space_group_name_Hall '-P 4 2 3'
_cell_length_a 5.1261
_cell_length_b 5.1261
_cell_length_c 5.1261
_cell_angle_alpha 90.00
_cell_angle_beta 90.00
_cell_angle_gamma 90.00
loop_
_atom_site_label
_atom_site_type_symbol
_atom_site_fract_x
_atom_site_fract_y
_atom_site_fract_z
Al1 Al 0.0000 0.0000 0.5000
In1 In 0.0000 0.0000 0.0000
Si1 Si 0.5000 0.5000 0.5000
```

Calculated values
- Fermi-level density of states: 3.9 states/eV/cell

---

This record from Alexandria describes TlIn3SnHg after structural relaxation. The functional is PBE-GGA.

CIF file:
```
data_TlIn3SnHg
_space_group_name_H-M_alt 'P 1 21/m 1'
_space_group_IT_number 11
_space_group_name_Hall '-P 2yb'
_cell_length_a 7.8981
_cell_length_b 4.3612
_cell_length_c 10.3611
_cell_angle_alpha 90.00
_cell_angle_beta 111.70
_cell_angle_gamma 90.00
loop_
_atom_site_label
_atom_site_type_symbol
_atom_site_fract_x
_atom_site_fract_y
_atom_site_fract_z
Tl1 Tl 0.0146 0.2500 0.1310
In1 In 0.2998 0.7500 0.7000
In2 In 0.3362 0.2500 0.9621
In3 In 0.3366 0.2500 0.4540
Sn1 Sn 0.3792 0.7500 0.2165
Hg1 Hg 0.0166 0.7500 0.3809
```

Calculated values
- Fermi-level density of states: 4.8 states/eV/cell

---

| no. | electronic total energy (eV per atom) |
| --- | --- |
| 1 | -4.32 |
| 2 | -5.00 |
| 3 | -5.22 |
| 4 | -2.75 |
| 5 | -2.45 |